Record 1
Entry from Alexandria via LeMat-Bulk: a relaxed structure of Sr2NbCBr (PBE).

Properties
Raw formation energy = 1113 meV/atom
Mass density = 4.14 Mg/m³

Cell lengths 5.4102, 5.4102, 4.9386 Å; angles 90.00, 90.00, 90.00 degrees
Space group P4/mmm (No. 123)
Asymmetric unit:
Sr: 0.0000 0.5000 0.0000 (multiplicity 2)
Nb: 0.0000 0.0000 0.5000 (multiplicity 1)
C: 0.5000 0.5000 0.0000 (multiplicity 1)
Br: 0.5000 0.5000 0.5000 (multiplicity 1)

---

Record 2
Entry from Alexandria via LeMat-Bulk: a relaxed structure of BeCr3Ag (PBE).

Properties
Mass density = 3.77 Mg/m³
Energy relative to the lowest polymorph listed for this composition = 930 meV per atom

Cell lengths 4.9349, 4.9349, 4.9349 Å; angles 90.00, 90.00, 90.00 degrees
Space group Pm-3m (No. 221)
Asymmetric unit:
Be: 0.0000 0.0000 0.0000 (multiplicity 1)
Cr: 0.0000 0.5000 0.5000 (multiplicity 3)
Ag: 0.5000 0.5000 0.5000 (multiplicity 1)